A geometry-optimized AlHPd2Au structure, computed with PBE.

Results
The value obtained for the total energy is -4.452 eV per atom. The calculation puts the volume at 13.024 A^3/atom. The calculation puts the total magnetization at 0.000 μB per cell. The density of states at the Fermi level is 1.25 states/eV/f.u. The calculated density comes out at 11.2 Mg/m³. As for the distance to the lowest polymorph of the same formula: 23 meV/atom.

Geometry as extended XYZ:
```
5
Lattice="3.958 0.000 0.000 0.000 3.958 0.000 0.000 0.000 4.156" Properties=species:S:1:pos:R:3 pbc="T T T"
Al 0.000 0.000 0.000
H 0.000 0.000 2.078
Pd 0.000 1.979 2.078
Pd 1.979 0.000 2.078
Au 1.979 1.979 0.000
```